Density functional theory data (GGA-PBE) for TcSnTeH2 after structural relaxation.

Cell and atoms, written as POSCAR:
```
TcSnTeH2
1.0
3.835 0.000 0.000
0.000 3.835 0.000
0.000 0.000 5.557
Tc Sn Te H
1 1 1 2
direct
0.000 0.000 0.000
0.500 0.500 0.000
0.000 0.000 0.500
0.000 0.500 0.500
0.500 0.000 0.500
```

Summary:
The calculation puts the calculated total energy at -0.3222 Ry/atom. For the density of states at the Fermi level, the calculation gives 1.73 states/eV/f.u. The symmetry is P4/mmm, No. 123. The total moment comes out at 0.7 μB per cell.